Record 1
A relaxed RbTl2MoF6 crystal. Source: Alexandria, functional PBE with a Hubbard U.

Unit cell a=6.363 b=6.943 c=11.285 alpha=90.00 beta=123.81 gamma=90.00
Positions (direct):
Rb 0.000 0.000 0.000
Rb 0.000 0.500 0.500
Tl 0.226 0.041 0.736
Tl 0.226 0.459 0.236
Tl 0.774 0.541 0.764
Tl 0.774 0.959 0.264
Mo 0.500 0.000 0.500
Mo 0.500 0.500 0.000
F 0.193 0.154 0.477
F 0.193 0.346 0.977
F 0.264 0.746 0.927
F 0.264 0.754 0.427
F 0.383 0.067 0.288
F 0.383 0.433 0.788
F 0.617 0.567 0.212
F 0.617 0.933 0.712
F 0.736 0.246 0.573
F 0.736 0.254 0.073
F 0.807 0.654 0.023
F 0.807 0.846 0.523

## Properties
**Electronic total energy**: -4.760 eV/atom
**Fermi-level density of states**: 0.00 states/eV per atom
**Space group**: P2_1/c

Record 2
A relaxed CeTlCr2O8 crystal. Source: Alexandria, functional PBE with a Hubbard U.

Unit cell a=5.636 b=5.636 c=8.251 alpha=91.24 beta=91.24 gamma=63.39
Positions (direct):
Ce 0.000 0.000 0.000
Tl 0.000 0.000 0.500
Cr 0.359 0.359 0.229
Cr 0.641 0.641 0.771
O 0.219 0.693 0.196
O 0.220 0.220 0.095
O 0.302 0.302 0.413
O 0.307 0.781 0.804
O 0.693 0.219 0.196
O 0.698 0.698 0.587
O 0.780 0.780 0.905
O 0.781 0.307 0.804

## Properties
**Electronic total energy**: -6.962 eV/atom
**Fermi-level density of states**: 0.48 states/eV per atom
**Space group**: C2/m

Look up the electronic total energy of the second one.
-6.962 eV/atom